Record 1
{"formula": "YCr2Au", "functional": "PBE", "state": "optimized geometry", "lattice": [[4.2378, 0.0000, 0.0000], [0.0000, 4.2378, 0.0000], [0.0000, 0.0000, 8.8247]], "species": ["Y", "Y", "Cr", "Cr", "Cr", "Cr", "Au", "Au"], "frac_coords": [[0.0000, 0.0000, 0.0000], [0.5000, 0.5000, 0.5000], [0.0000, 0.0000, 0.5000], [0.0000, 0.5000, 0.2500], [0.5000, 0.0000, 0.7500], [0.5000, 0.5000, 0.0000], [0.0000, 0.5000, 0.7500], [0.5000, 0.0000, 0.2500]], "e_form_ev_per_atom": 0.282, "polymorph_energy_mev_per_atom": 241.1}

***

Record 2
{"formula": "Y2CrAu", "functional": "PBE", "state": "optimized geometry", "lattice": [[7.0713, 0.0000, 0.0000], [0.0000, 7.0713, 0.0000], [0.0000, 0.0000, 7.0713]], "species": ["Y", "Y", "Y", "Y", "Y", "Y", "Y", "Y", "Cr", "Cr", "Cr", "Cr", "Au", "Au", "Au", "Au"], "frac_coords": [[0.0000, 0.0000, 0.0000], [0.0000, 0.5000, 0.5000], [0.2500, 0.2500, 0.2500], [0.2500, 0.7500, 0.7500], [0.5000, 0.0000, 0.5000], [0.5000, 0.5000, 0.0000], [0.7500, 0.2500, 0.7500], [0.7500, 0.7500, 0.2500], [0.2500, 0.2500, 0.7500], [0.2500, 0.7500, 0.2500], [0.7500, 0.2500, 0.2500], [0.7500, 0.7500, 0.7500], [0.0000, 0.0000, 0.5000], [0.0000, 0.5000, 0.0000], [0.5000, 0.0000, 0.0000], [0.5000, 0.5000, 0.5000]], "e_form_ev_per_atom": 0.008, "polymorph_energy_mev_per_atom": 237.3}

***

Record 3
{"formula": "YCr2Au", "functional": "PBE", "state": "optimized geometry", "lattice": [[3.5503, 0.0000, 0.0000], [0.0000, 4.6674, 0.0000], [0.0000, 0.0000, 4.8375]], "species": ["Y", "Cr", "Cr", "Au"], "frac_coords": [[0.0000, 0.0000, 0.0000], [0.5000, 0.1975, 0.5000], [0.5000, 0.8025, 0.5000], [0.5000, 0.5000, 0.0000]], "e_form_ev_per_atom": 0.352, "polymorph_energy_mev_per_atom": 310.9}